KLiMo2C | PBE-GGA | optimized geometry

Output
As for the energy of formation: 3406 meV per atom. As for the symmetry: P4/mmm (123). The volume comes out at 34.68 Å³/atom.

Unit cell a=5.9099 b=5.9099 c=4.9652 alpha=90.00 beta=90.00 gamma=90.00
Fractional coordinates of all 5 atoms:
1 K 0.0000 0.0000 0.0000
2 Li 0.5000 0.5000 0.5000
3 Mo 0.0000 0.5000 0.0000
4 Mo 0.5000 0.0000 0.0000
5 C 0.0000 0.0000 0.5000